Record 1
First-principles (GGA-PBE) data for an optimized crystal structure of Mo2WBr, as listed in Alexandria. Values from VASP.

Calculated values
The energy above the lowest structure with this stoichiometry is 179 meV/atom. For the energy relative to the elements, uncorrected, the calculation gives 0.604 eV per atom. As for the volume: 16.96 A^3/atom.

```
&SYSTEM
  ibrav = 0, nat = 4, ntyp = 3
/
ATOMIC_SPECIES
Mo 95.94 Mo.upf
W 183.84 W.upf
Br 79.90 Br.upf
ATOMIC_POSITIONS crystal
Mo 0.0000 0.0000 0.0000
Mo 0.5000 0.5000 0.2239
W 0.0000 0.0000 0.4507
Br 0.5000 0.5000 0.7284
CELL_PARAMETERS angstrom
3.0879 0.0000 0.0000
0.0000 3.0879 0.0000
0.0000 0.0000 7.1145
```



Record 2
First-principles (GGA-PBE) data for an optimized crystal structure of MoWBr2, as listed in Alexandria. Values from VASP.

Calculated values
The energy above the lowest structure with this stoichiometry is 453 meV/atom. For the energy relative to the elements, uncorrected, the calculation gives 0.608 eV per atom. As for the volume: 25.53 A^3/atom.

```
&SYSTEM
  ibrav = 0, nat = 4, ntyp = 3
/
ATOMIC_SPECIES
Mo 95.94 Mo.upf
W 183.84 W.upf
Br 79.90 Br.upf
ATOMIC_POSITIONS crystal
Mo 0.0000 0.0000 0.0000
W 0.5000 0.5000 0.0000
Br 0.3571 0.8571 0.5000
Br 0.6429 0.1429 0.5000
CELL_PARAMETERS angstrom
-1.6090 2.1273 7.4592
1.6090 -2.1273 7.4592
1.6090 2.1273 -7.4592
```



Record 3
First-principles (GGA-PBE) data for an optimized crystal structure of Mo2WBr, as listed in Alexandria. Values from VASP.

Calculated values
The energy above the lowest structure with this stoichiometry is 881 meV/atom. For the energy relative to the elements, uncorrected, the calculation gives 1.306 eV per atom. As for the volume: 18.04 A^3/atom.

```
&SYSTEM
  ibrav = 0, nat = 8, ntyp = 3
/
ATOMIC_SPECIES
Mo 95.94 Mo.upf
W 183.84 W.upf
Br 79.90 Br.upf
ATOMIC_POSITIONS crystal
Mo 0.1165 0.6250 0.9915
Mo 0.3750 0.3665 0.4915
Mo 0.6335 0.1250 0.0085
Mo 0.8750 0.8835 0.5085
W 0.0000 0.0000 0.0000
W 0.7500 0.2500 0.5000
Br 0.2500 0.7500 0.5000
Br 0.5000 0.5000 0.0000
CELL_PARAMETERS angstrom
-3.5968 3.5968 2.7890
3.5968 -3.5968 2.7890
3.5968 3.5968 -2.7890
```



Record 4
First-principles (GGA-PBE) data for an optimized crystal structure of MoWBr2, as listed in Alexandria. Values from VASP.

Calculated values
The energy above the lowest structure with this stoichiometry is 1218 meV/atom. For the energy relative to the elements, uncorrected, the calculation gives 1.373 eV per atom. As for the volume: 16.70 A^3/atom.

```
&SYSTEM
  ibrav = 0, nat = 4, ntyp = 3
/
ATOMIC_SPECIES
Mo 95.94 Mo.upf
W 183.84 W.upf
Br 79.90 Br.upf
ATOMIC_POSITIONS crystal
Mo 0.0000 0.0000 0.0000
W 0.5000 0.5000 0.5000
Br 0.2500 0.2500 0.2500
Br 0.7500 0.7500 0.7500
CELL_PARAMETERS angstrom
0.0000 3.2206 3.2206
3.2206 0.0000 3.2206
3.2206 3.2206 0.0000
```



Record 5
First-principles (GGA-PBE) data for an optimized crystal structure of MoWBr3, as listed in Alexandria. Values from VASP.

Calculated values
The energy above the lowest structure with this stoichiometry is 0 meV/atom. For the energy relative to the elements, uncorrected, the calculation gives 1.160 eV per atom. As for the volume: 28.77 A^3/atom.

```
&SYSTEM
  ibrav = 0, nat = 5, ntyp = 3
/
ATOMIC_SPECIES
Mo 95.94 Mo.upf
W 183.84 W.upf
Br 79.90 Br.upf
ATOMIC_POSITIONS crystal
Mo 0.0000 0.0000 0.0000
W 0.5000 0.5000 0.5000
Br 0.0000 0.5000 0.5000
Br 0.5000 0.0000 0.5000
Br 0.5000 0.5000 0.0000
CELL_PARAMETERS angstrom
5.2397 0.0000 0.0000
0.0000 5.2397 0.0000
0.0000 0.0000 5.2397
```



Record 6
First-principles (GGA-PBE) data for an optimized crystal structure of Mo2WBr, as listed in Alexandria. Values from VASP.

Calculated values
The energy above the lowest structure with this stoichiometry is 208 meV/atom. For the energy relative to the elements, uncorrected, the calculation gives 0.633 eV per atom. As for the volume: 17.48 A^3/atom.

```
&SYSTEM
  ibrav = 0, nat = 4, ntyp = 3
/
ATOMIC_SPECIES
Mo 95.94 Mo.upf
W 183.84 W.upf
Br 79.90 Br.upf
ATOMIC_POSITIONS crystal
Mo 0.0000 0.0000 0.0000
Mo 0.2498 0.2498 0.2498
W 0.7401 0.7401 0.7401
Br 0.5029 0.5029 0.5029
CELL_PARAMETERS angstrom
1.5271 0.8817 8.6539
-1.5271 0.8817 8.6539
0.0000 -1.7633 8.6539
```



Record 7
First-principles (GGA-PBE) data for an optimized crystal structure of MoWBr2, as listed in Alexandria. Values from VASP.

Calculated values
The energy above the lowest structure with this stoichiometry is 1182 meV/atom. For the energy relative to the elements, uncorrected, the calculation gives 1.337 eV per atom. As for the volume: 18.21 A^3/atom.

```
&SYSTEM
  ibrav = 0, nat = 4, ntyp = 3
/
ATOMIC_SPECIES
Mo 95.94 Mo.upf
W 183.84 W.upf
Br 79.90 Br.upf
ATOMIC_POSITIONS crystal
Mo 0.0000 0.0000 0.0000
W 0.2500 0.7500 0.5000
Br 0.5000 0.5000 0.0000
Br 0.7500 0.2500 0.5000
CELL_PARAMETERS angstrom
-2.1347 2.1347 3.9968
2.1347 -2.1347 3.9968
2.1347 2.1347 -3.9968
```



Record 8
First-principles (GGA-PBE) data for an optimized crystal structure of MoWBr2, as listed in Alexandria. Values from VASP.

Calculated values
The energy above the lowest structure with this stoichiometry is 597 meV/atom. For the energy relative to the elements, uncorrected, the calculation gives 0.752 eV per atom. As for the volume: 25.49 A^3/atom.

```
&SYSTEM
  ibrav = 0, nat = 4, ntyp = 3
/
ATOMIC_SPECIES
Mo 95.94 Mo.upf
W 183.84 W.upf
Br 79.90 Br.upf
ATOMIC_POSITIONS crystal
Mo 0.0000 0.0000 0.0000
W 0.1213 0.6213 0.5000
Br 0.4203 0.4203 0.0000
Br 0.6865 0.1865 0.5000
CELL_PARAMETERS angstrom
-1.6111 2.2053 7.1738
1.6111 -2.2053 7.1738
1.6111 2.2053 -7.1738
```



Record 9
First-principles (GGA-PBE) data for an optimized crystal structure of MoWBr4, as listed in Alexandria. Values from VASP.

Calculated values
For the energy relative to the elements, uncorrected, the calculation gives 1.938 eV per atom. As for the volume: 26.56 A^3/atom.

```
&SYSTEM
  ibrav = 0, nat = 6, ntyp = 3
/
ATOMIC_SPECIES
Mo 95.94 Mo.upf
W 183.84 W.upf
Br 79.90 Br.upf
ATOMIC_POSITIONS crystal
Mo 0.0000 0.0000 0.0000
W 0.7500 0.7500 0.7500
Br 0.3752 0.3752 0.3752
Br 0.3752 0.3752 0.8744
Br 0.3752 0.8744 0.3752
Br 0.8744 0.3752 0.3752
CELL_PARAMETERS angstrom
0.0000 4.3029 4.3029
4.3029 0.0000 4.3029
4.3029 4.3029 0.0000
```



Record 10
First-principles (GGA-PBE) data for an optimized crystal structure of Mo2WBr, as listed in Alexandria. Values from VASP.

Calculated values
The energy above the lowest structure with this stoichiometry is 503 meV/atom. For the energy relative to the elements, uncorrected, the calculation gives 0.928 eV per atom. As for the volume: 16.38 A^3/atom.

```
&SYSTEM
  ibrav = 0, nat = 4, ntyp = 3
/
ATOMIC_SPECIES
Mo 95.94 Mo.upf
W 183.84 W.upf
Br 79.90 Br.upf
ATOMIC_POSITIONS crystal
Mo 0.0000 0.0000 0.0000
Mo 0.5000 0.0000 0.5000
W 0.0000 0.5000 0.5000
Br 0.5000 0.5000 0.0000
CELL_PARAMETERS angstrom
3.0327 0.0000 0.0000
0.0000 4.5948 0.0000
0.0000 0.0000 4.7018
```



Record 11
First-principles (GGA-PBE) data for an optimized crystal structure of Mo2WBr, as listed in Alexandria. Values from VASP.

Calculated values
The energy above the lowest structure with this stoichiometry is 129 meV/atom. For the energy relative to the elements, uncorrected, the calculation gives 0.554 eV per atom. As for the volume: 17.47 A^3/atom.

```
&SYSTEM
  ibrav = 0, nat = 4, ntyp = 3
/
ATOMIC_SPECIES
Mo 95.94 Mo.upf
W 183.84 W.upf
Br 79.90 Br.upf
ATOMIC_POSITIONS crystal
Mo 0.2447 0.2447 0.2447
Mo 0.7553 0.7553 0.7553
W 0.5000 0.5000 0.5000
Br 0.0000 0.0000 0.0000
CELL_PARAMETERS angstrom
1.5465 0.8929 8.4365
-1.5465 0.8929 8.4365
0.0000 -1.7857 8.4365
```



Record 12
First-principles (GGA-PBE) data for an optimized crystal structure of Mo2WBr, as listed in Alexandria. Values from VASP.

Calculated values
The energy above the lowest structure with this stoichiometry is 448 meV/atom. For the energy relative to the elements, uncorrected, the calculation gives 0.874 eV per atom. As for the volume: 16.17 A^3/atom.

```
&SYSTEM
  ibrav = 0, nat = 4, ntyp = 3
/
ATOMIC_SPECIES
Mo 95.94 Mo.upf
W 183.84 W.upf
Br 79.90 Br.upf
ATOMIC_POSITIONS crystal
Mo 0.2391 0.2391 0.0000
Mo 0.7609 0.7609 0.0000
W 0.5000 0.0000 0.5000
Br 0.0000 0.5000 0.5000
CELL_PARAMETERS angstrom
-1.5246 2.3121 4.5866
1.5246 -2.3121 4.5866
1.5246 2.3121 -4.5866
```



Record 13
First-principles (GGA-PBE) data for an optimized crystal structure of Mo2WBr, as listed in Alexandria. Values from VASP.

Calculated values
The energy above the lowest structure with this stoichiometry is 0 meV/atom. For the energy relative to the elements, uncorrected, the calculation gives 0.425 eV per atom. As for the volume: 18.71 A^3/atom.

```
&SYSTEM
  ibrav = 0, nat = 4, ntyp = 3
/
ATOMIC_SPECIES
Mo 95.94 Mo.upf
W 183.84 W.upf
Br 79.90 Br.upf
ATOMIC_POSITIONS crystal
Mo 0.0000 0.0000 0.2018
Mo 0.0000 0.0000 0.7982
W 0.5000 0.5000 0.0000
Br 0.5000 0.0000 0.5000
CELL_PARAMETERS angstrom
3.1216 0.0000 0.0000
0.0000 3.1296 0.0000
0.0000 0.0000 7.6611
```



Record 14
First-principles (GGA-PBE) data for an optimized crystal structure of MoWBr2, as listed in Alexandria. Values from VASP.

Calculated values
The energy above the lowest structure with this stoichiometry is 175 meV/atom. For the energy relative to the elements, uncorrected, the calculation gives 0.330 eV per atom. As for the volume: 20.89 A^3/atom.

```
&SYSTEM
  ibrav = 0, nat = 4, ntyp = 3
/
ATOMIC_SPECIES
Mo 95.94 Mo.upf
W 183.84 W.upf
Br 79.90 Br.upf
ATOMIC_POSITIONS crystal
Mo 0.0000 0.0000 0.0000
W 0.5000 0.5000 0.2053
Br 0.0000 0.0000 0.3993
Br 0.5000 0.5000 0.8083
CELL_PARAMETERS angstrom
3.0552 0.0000 0.0000
0.0000 3.0552 0.0000
0.0000 0.0000 8.9510
```



Record 15
First-principles (GGA-PBE) data for an optimized crystal structure of MoWBr2, as listed in Alexandria. Values from VASP.

Calculated values
The energy above the lowest structure with this stoichiometry is 521 meV/atom. For the energy relative to the elements, uncorrected, the calculation gives 0.676 eV per atom. As for the volume: 26.53 A^3/atom.

```
&SYSTEM
  ibrav = 0, nat = 4, ntyp = 3
/
ATOMIC_SPECIES
Mo 95.94 Mo.upf
W 183.84 W.upf
Br 79.90 Br.upf
ATOMIC_POSITIONS crystal
Mo 0.0000 0.0000 0.0000
W 0.3203 0.3203 0.9554
Br 0.5759 0.5759 0.7113
Br 0.7540 0.7540 0.2483
CELL_PARAMETERS angstrom
5.0598 -1.6061 0.0000
5.0598 1.6061 0.0000
-1.8900 0.0000 6.5279
```



Record 16
First-principles (GGA-PBE) data for an optimized crystal structure of Mo2WBr, as listed in Alexandria. Values from VASP.

Calculated values
The energy above the lowest structure with this stoichiometry is 703 meV/atom. For the energy relative to the elements, uncorrected, the calculation gives 1.129 eV per atom. As for the volume: 16.61 A^3/atom.

```
&SYSTEM
  ibrav = 0, nat = 4, ntyp = 3
/
ATOMIC_SPECIES
Mo 95.94 Mo.upf
W 183.84 W.upf
Br 79.90 Br.upf
ATOMIC_POSITIONS crystal
Mo 0.0000 0.0000 0.0000
Mo 0.7500 0.2500 0.5000
W 0.2500 0.7500 0.5000
Br 0.5000 0.5000 0.0000
CELL_PARAMETERS angstrom
-1.8952 1.8952 4.6232
1.8952 -1.8952 4.6232
1.8952 1.8952 -4.6232
```



Record 17
First-principles (GGA-PBE) data for an optimized crystal structure of MoWBr2, as listed in Alexandria. Values from VASP.

Calculated values
The energy above the lowest structure with this stoichiometry is 0 meV/atom. For the energy relative to the elements, uncorrected, the calculation gives 0.155 eV per atom. As for the volume: 22.67 A^3/atom.

```
&SYSTEM
  ibrav = 0, nat = 4, ntyp = 3
/
ATOMIC_SPECIES
Mo 95.94 Mo.upf
W 183.84 W.upf
Br 79.90 Br.upf
ATOMIC_POSITIONS crystal
Mo 0.0000 0.0000 0.0000
W 0.7262 0.7262 0.7262
Br 0.2602 0.2602 0.2602
Br 0.4663 0.4663 0.4663
CELL_PARAMETERS angstrom
1.6775 0.9685 9.3008
-1.6775 0.9685 9.3008
0.0000 -1.9370 9.3008
```



Record 18
First-principles (GGA-PBE) data for an optimized crystal structure of MoWBr2, as listed in Alexandria. Values from VASP.

Calculated values
The energy above the lowest structure with this stoichiometry is 760 meV/atom. For the energy relative to the elements, uncorrected, the calculation gives 0.915 eV per atom. As for the volume: 18.57 A^3/atom.

```
&SYSTEM
  ibrav = 0, nat = 4, ntyp = 3
/
ATOMIC_SPECIES
Mo 95.94 Mo.upf
W 183.84 W.upf
Br 79.90 Br.upf
ATOMIC_POSITIONS crystal
Mo 0.0000 0.0000 0.0000
W 0.5000 0.5000 0.5000
Br 0.4059 0.4059 0.4059
Br 0.5941 0.5941 0.5941
CELL_PARAMETERS angstrom
1.5492 0.8944 8.9335
-1.5492 0.8944 8.9335
0.0000 -1.7889 8.9335
```



Record 19
First-principles (GGA-PBE) data for an optimized crystal structure of MoWBr2, as listed in Alexandria. Values from VASP.

Calculated values
The energy above the lowest structure with this stoichiometry is 1013 meV/atom. For the energy relative to the elements, uncorrected, the calculation gives 1.168 eV per atom. As for the volume: 18.94 A^3/atom.

```
&SYSTEM
  ibrav = 0, nat = 4, ntyp = 3
/
ATOMIC_SPECIES
Mo 95.94 Mo.upf
W 183.84 W.upf
Br 79.90 Br.upf
ATOMIC_POSITIONS crystal
Mo 0.0000 0.0000 0.0000
W 0.0000 0.0000 0.5000
Br 0.0603 0.5000 0.7548
Br 0.9397 0.5000 0.2452
CELL_PARAMETERS angstrom
2.9387 0.0000 0.0000
0.0000 4.5131 0.0000
-1.4328 0.0000 5.7132
```



Record 20
First-principles (GGA-PBE) data for an optimized crystal structure of Mo2WBr, as listed in Alexandria. Values from VASP.

Calculated values
The energy above the lowest structure with this stoichiometry is 702 meV/atom. For the energy relative to the elements, uncorrected, the calculation gives 1.128 eV per atom. As for the volume: 16.57 A^3/atom.

```
&SYSTEM
  ibrav = 0, nat = 4, ntyp = 3
/
ATOMIC_SPECIES
Mo 95.94 Mo.upf
W 183.84 W.upf
Br 79.90 Br.upf
ATOMIC_POSITIONS crystal
Mo 0.0000 0.0000 0.0000
Mo 0.2500 0.2500 0.2500
W 0.5000 0.5000 0.5000
Br 0.7500 0.7500 0.7500
CELL_PARAMETERS angstrom
0.0000 3.2123 3.2123
3.2123 0.0000 3.2123
3.2123 3.2123 0.0000
```